The following is a PBE calculation of a relaxed structure of LiZn2Hg, from Alexandria via LeMat-Bulk.

a b c (Å): 3.461 3.221 6.915
angles (deg): 61.13 90.00 90.00
Positions (direct):
Hg  0.000  0.490  0.516
Zn  0.000  0.994  0.003
Zn  0.500  0.278  0.220
Li  0.500  0.738  0.761

Values from the calculation:
- DOS at the Fermi energy: 0.9 states/eV/cell
- Energy: -0.048 Ha/atom
- SG: Pm
- E_form: -0.12 eV per atom